1) ## Tc2IrRh (SCAN)

Data for a PBEsol-optimized structure of Tc2IrRh.

Total moment = 0.00 μB/f.u.
Volume = 55.24 Å³/f.u.

a = 8.9292 Å, b = 2.6697 Å, c = 4.6999 Å
α = 90.00°, β = 99.56°, γ = 90.00°
Last column: nearest neighbours and their distance in Å.
Space group Cm (No. 8)
One atom of each set of equivalent atoms:
1 Tc 0.0000 0.0000 0.0000 (multiplicity 2)  3 Ir 2.65-2.68, 5 Tc 2.67-2.72, 4 Rh 2.69-2.71
2 Tc 0.2493 0.0000 0.7393 (multiplicity 2)  3 Rh 2.66-2.67, 5 Tc 2.67-2.72, 4 Ir 2.69-2.72
3 Ir 0.2463 0.5000 0.2349 (multiplicity 2)  7 Tc 2.65-2.72, 2 Ir 2.67, 3 Rh 2.71-2.75
4 Rh 0.0004 0.5000 0.5023 (multiplicity 2)  7 Tc 2.66-2.71, 2 Rh 2.67, 3 Ir 2.71-2.75



2) ## Tc2IrRh (SCAN)

Data for a PBEsol-optimized structure of Tc2IrRh.

Total moment = 0.00 μB/f.u.
Volume = 56.79 Å³/f.u.

a = 6.1015 Å, b = 6.1015 Å, c = 6.1015 Å
α = 90.00°, β = 90.00°, γ = 90.00°
Last column: nearest neighbours and their distance in Å.
Space group Fm-3m (No. 225)
One atom of each set of equivalent atoms:
1 Tc 0.2500 0.2500 0.2500 (multiplicity 8)  4 Ir 2.64, 4 Rh 2.64
2 Ir 0.0000 0.0000 0.0000 (multiplicity 4)  8 Tc 2.64
3 Rh 0.0000 0.0000 0.5000 (multiplicity 4)  8 Tc 2.64



3) ## Tc2IrRh (SCAN)

Data for a PBEsol-optimized structure of Tc2IrRh.

Total moment = 0.00 μB/f.u.
Volume = 54.87 Å³/f.u.

a = 2.6907 Å, b = 4.3064 Å, c = 4.7357 Å
α = 90.00°, β = 90.00°, γ = 90.00°
Last column: nearest neighbours and their distance in Å.
Space group Pmm2 (No. 25)
One atom of each set of equivalent atoms:
1 Tc 0.0000 0.0000 0.0000 (multiplicity 1)  4 Tc 2.65-2.69, 4 Ir 2.67, 4 Rh 2.70-2.75
2 Tc 0.0000 0.5000 0.3259 (multiplicity 1)  4 Tc 2.65-2.69, 4 Rh 2.66, 4 Ir 2.72-2.73
3 Ir 0.5000 0.5000 0.8274 (multiplicity 1)  8 Tc 2.67-2.73, 2 Rh 2.67, 2 Ir 2.69
4 Rh 0.5000 0.0000 0.4933 (multiplicity 1)  8 Tc 2.66-2.75, 2 Ir 2.67, 2 Rh 2.69



Least stable = 2)



1) ## TlIr2Rh (SCAN)

Data for a PBEsol-optimized structure of TlIr2Rh.

Total moment = 0.00 μB/f.u.
Volume = 63.29 Å³/f.u.

a = 3.3030 Å, b = 3.3030 Å, c = 5.8012 Å
α = 90.00°, β = 90.00°, γ = 90.00°
Last column: nearest neighbours and their distance in Å.
Space group P4/mmm (No. 123)
One atom of each set of equivalent atoms:
1 Tl 0.0000 0.0000 0.0000 (multiplicity 1)  8 Ir 2.82, 2 Rh 2.90
2 Ir 0.5000 0.5000 0.2735 (multiplicity 2)  1 Ir 2.63, 4 Rh 2.68, 4 Tl 2.82
3 Rh 0.0000 0.0000 0.5000 (multiplicity 1)  8 Ir 2.68, 2 Tl 2.90



2) ## TlIr2Rh (SCAN)

Data for a PBEsol-optimized structure of TlIr2Rh.

Total moment = 0.00 μB/f.u.
Volume = 62.78 Å³/f.u.

a = 2.8399 Å, b = 2.8399 Å, c = 26.9649 Å
α = 90.00°, β = 90.00°, γ = 120.00°
Last column: nearest neighbours and their distance in Å.
Space group R3m (No. 160, hexagonal axes)
One atom of each set of equivalent atoms:
1 Tl 0.0000 0.0000 0.0000 (multiplicity 3)  6 Tl 2.84, 3 Rh 2.86, 3 Ir 2.94
2 Ir 0.0000 0.0000 0.5019 (multiplicity 3)  3 Rh 2.66, 9 Ir 2.67-2.84
3 Ir 0.0000 0.0000 0.7570 (multiplicity 3)  9 Ir 2.67-2.84, 3 Tl 2.94
4 Rh 0.0000 0.0000 0.2464 (multiplicity 3)  3 Ir 2.66, 6 Rh 2.84, 3 Tl 2.86



3) ## TlIr2Rh (SCAN)

Data for a PBEsol-optimized structure of TlIr2Rh.

Total moment = 0.00 μB/f.u.
Volume = 62.79 Å³/f.u.

a = 2.8203 Å, b = 3.8029 Å, c = 5.8544 Å
α = 90.00°, β = 90.00°, γ = 90.00°
Last column: nearest neighbours and their distance in Å.
Space group Pmm2 (No. 25)
One atom of each set of equivalent atoms:
1 Tl 0.0000 0.0000 0.0000 (multiplicity 1)  4 Rh 2.81, 2 Tl 2.82, 6 Ir 2.92-2.93
2 Ir 0.0000 0.0000 0.5001 (multiplicity 1)  6 Ir 2.66-2.82, 4 Rh 2.75, 2 Tl 2.93
3 Ir 0.5000 0.5000 0.2926 (multiplicity 1)  1 Rh 2.62, 6 Ir 2.66-2.82, 4 Tl 2.92
4 Rh 0.5000 0.5000 0.7405 (multiplicity 1)  5 Ir 2.62-2.75, 4 Tl 2.81, 2 Rh 2.82



4) ## TlIr2Rh (SCAN)

Data for a PBEsol-optimized structure of TlIr2Rh.

Total moment = 0.00 μB/f.u.
Volume = 62.61 Å³/f.u.

a = 9.0412 Å, b = 2.8465 Å, c = 4.9440 Å
α = 90.00°, β = 100.24°, γ = 90.00°
Last column: nearest neighbours and their distance in Å.
Space group Cm (No. 8)
One atom of each set of equivalent atoms:
1 Tl 0.0000 0.0000 0.0000 (multiplicity 2)  3 Rh 2.73-2.80, 2 Tl 2.85, 7 Ir 2.85-2.89
2 Ir 0.9999 0.5000 0.4993 (multiplicity 2)  5 Ir 2.66-2.85, 3 Rh 2.74-2.79, 4 Tl 2.85-2.86
3 Ir 0.2566 0.5000 0.2987 (multiplicity 2)  2 Rh 2.66, 5 Ir 2.66-2.85, 3 Tl 2.86-2.89
4 Rh 0.2459 0.0000 0.7483 (multiplicity 2)  5 Ir 2.66-2.79, 3 Tl 2.73-2.80, 2 Rh 2.85



Least stable = 1)



1) ## TlIr2Rh (SCAN)

Data for a PBEsol-optimized structure of TlIr2Rh.

Total moment = 0.00 μB/f.u.
Volume = 63.13 Å³/f.u.

a = 2.7789 Å, b = 4.6879 Å, c = 9.6916 Å
α = 90.00°, β = 90.00°, γ = 90.00°
Last column: nearest neighbours and their distance in Å.
Space group Immm (No. 71)
One atom of each set of equivalent atoms:
1 Tl 0.0000 0.0000 0.0000 (multiplicity 2)  4 Rh 2.72, 2 Tl 2.78, 4 Ir 2.93
2 Ir 0.0000 0.5000 0.2339 (multiplicity 4)  2 Rh 2.66, 6 Ir 2.74-2.78, 2 Tl 2.93
3 Rh 0.0000 0.0000 0.5000 (multiplicity 2)  4 Ir 2.66, 4 Tl 2.72, 2 Rh 2.78



2) ## TlIr2Rh (SCAN)

Data for a PBEsol-optimized structure of TlIr2Rh.

Total moment = 0.00 μB/f.u.
Volume = 62.64 Å³/f.u.

a = 2.8259 Å, b = 2.8259 Å, c = 7.8439 Å
α = 90.00°, β = 90.00°, γ = 90.00°
Last column: nearest neighbours and their distance in Å.
Space group P4mm (No. 99)
One atom of each set of equivalent atoms:
1 Tl 0.0000 0.0000 0.0000 (multiplicity 1)  4 Tl 2.83, 4 Rh 2.89, 4 Ir 2.97
2 Ir 0.0000 0.0000 0.5053 (multiplicity 1)  8 Ir 2.67-2.83, 4 Rh 2.68
3 Ir 0.5000 0.5000 0.2799 (multiplicity 1)  8 Ir 2.67-2.83, 4 Tl 2.97
4 Rh 0.5000 0.5000 0.7338 (multiplicity 1)  4 Ir 2.68, 4 Rh 2.83, 4 Tl 2.89



Least stable = 1)



1) ## IrRh2W (SCAN)

Data for a PBEsol-optimized structure of IrRh2W.

Total moment = 0.00 μB/f.u.
Volume = 57.47 Å³/f.u.

a = 6.1260 Å, b = 6.1260 Å, c = 6.1260 Å
α = 90.00°, β = 90.00°, γ = 90.00°
Last column: nearest neighbours and their distance in Å.
Space group Fm-3m (No. 225)
One atom of each set of equivalent atoms:
1 Ir 0.0000 0.0000 0.0000 (multiplicity 4)  8 Rh 2.65
2 Rh 0.2500 0.2500 0.2500 (multiplicity 8)  4 Ir 2.65, 4 W 2.65
3 W 0.0000 0.0000 0.5000 (multiplicity 4)  8 Rh 2.65



2) ## IrRh2W (SCAN)

Data for a PBEsol-optimized structure of IrRh2W.

Total moment = 0.00 μB/f.u.
Volume = 57.50 Å³/f.u.

a = 6.1270 Å, b = 6.1270 Å, c = 6.1270 Å
α = 90.00°, β = 90.00°, γ = 90.00°
Last column: nearest neighbours and their distance in Å.
Space group F-43m (No. 216)
One atom of each set of equivalent atoms:
1 Ir 0.0000 0.0000 0.0000 (multiplicity 4)  4 W 2.65, 4 Rh 2.65
2 Rh 0.0000 0.0000 0.5000 (multiplicity 4)  4 Rh 2.65, 4 W 2.65
3 Rh 0.2500 0.2500 0.2500 (multiplicity 4)  4 Ir 2.65, 4 Rh 2.65
4 W 0.2500 0.2500 0.7500 (multiplicity 4)  4 Rh 2.65, 4 Ir 2.65



Least stable = 1)



1) ## IrRh2W (SCAN)

Data for a PBEsol-optimized structure of IrRh2W.

Total moment = 0.00 μB/f.u.
Volume = 56.75 Å³/f.u.

a = 2.7192 Å, b = 2.7192 Å, c = 26.5888 Å
α = 90.00°, β = 90.00°, γ = 120.00°
Last column: nearest neighbours and their distance in Å.
Space group R3m (No. 160, hexagonal axes)
One atom of each set of equivalent atoms:
1 Ir 0.0000 0.0000 0.0000 (multiplicity 3)  3 W 2.71, 6 Ir 2.72, 3 Rh 2.73
2 Rh 0.0000 0.0000 0.2492 (multiplicity 3)  9 Rh 2.72, 3 Ir 2.73
3 Rh 0.0000 0.0000 0.4989 (multiplicity 3)  3 W 2.70, 9 Rh 2.72
4 W 0.0000 0.0000 0.7498 (multiplicity 3)  3 Rh 2.70, 3 Ir 2.71, 6 W 2.72



2) ## IrRh2W (SCAN)

Data for a PBEsol-optimized structure of IrRh2W.

Total moment = 0.00 μB/f.u.
Volume = 56.14 Å³/f.u.

a = 3.8177 Å, b = 3.8177 Å, c = 3.8522 Å
α = 90.00°, β = 90.00°, γ = 90.00°
Last column: nearest neighbours and their distance in Å.
Space group P4/mmm (No. 123)
One atom of each set of equivalent atoms:
1 Ir 0.0000 0.0000 0.0000 (multiplicity 1)  4 W 2.70, 8 Rh 2.71
2 Rh 0.0000 0.5000 0.5000 (multiplicity 2)  4 Rh 2.70, 4 W 2.71, 4 Ir 2.71
3 W 0.5000 0.5000 0.0000 (multiplicity 1)  4 Ir 2.70, 8 Rh 2.71



Least stable = 1)



1) ## Ir2RhW (SCAN)

Data for a PBEsol-optimized structure of Ir2RhW.

Total moment = 0.00 μB/f.u.
Volume = 58.23 Å³/f.u.

a = 6.1527 Å, b = 6.1527 Å, c = 6.1527 Å
α = 90.00°, β = 90.00°, γ = 90.00°
Last column: nearest neighbours and their distance in Å.
Space group Fm-3m (No. 225)
One atom of each set of equivalent atoms:
1 Ir 0.2500 0.2500 0.2500 (multiplicity 8)  4 W 2.66, 4 Rh 2.66
2 Rh 0.0000 0.0000 0.0000 (multiplicity 4)  8 Ir 2.66
3 W 0.0000 0.0000 0.5000 (multiplicity 4)  8 Ir 2.66



2) ## Ir2RhW (SCAN)

Data for a PBEsol-optimized structure of Ir2RhW.

Total moment = 0.00 μB/f.u.
Volume = 56.86 Å³/f.u.

a = 3.8628 Å, b = 3.8628 Å, c = 7.6209 Å
α = 90.00°, β = 90.00°, γ = 90.00°
Last column: nearest neighbours and their distance in Å.
Space group I4/mmm (No. 139)
One atom of each set of equivalent atoms:
1 Ir 0.0000 0.5000 0.2500 (multiplicity 4)  4 W 2.71, 4 Rh 2.71, 4 Ir 2.73
2 Rh 0.0000 0.0000 0.0000 (multiplicity 2)  8 Ir 2.71, 4 W 2.73
3 W 0.0000 0.0000 0.5000 (multiplicity 2)  8 Ir 2.71, 4 Rh 2.73



Least stable = 1)